# CoBr3 PBE optimized geometry
# Size of the total moment = 1.55 μB per formula unit
# Total DFT energy (no corrections) = -3.173 eV per atom
data_CoBr3
_chemical_formula_sum 'Co2 Br6'
_symmetry_space_group_name_H-M 'P 1'
_symmetry_Int_Tables_number 1
_cell_length_a 6.582
_cell_length_b 6.582
_cell_length_c 6.582
_cell_angle_alpha 55.53
_cell_angle_beta 55.53
_cell_angle_gamma 55.53
loop_
_symmetry_equiv_pos_as_xyz
'x,y,z'
loop_
_atom_site_label
_atom_site_fract_x
_atom_site_fract_y
_atom_site_fract_z
Co1 0.000 0.000 0.000
Co2 0.500 0.500 0.500
Br1 0.095 0.750 0.405
Br2 0.250 0.595 0.905
Br3 0.405 0.095 0.750
Br4 0.595 0.905 0.250
Br5 0.750 0.405 0.095
Br6 0.905 0.250 0.595

=====

# SmGd2ErTl2 PBE optimized geometry
# Size of the total moment = 1.44 μB per formula unit
# Total DFT energy (no corrections) = -4.148 eV per atom
data_SmGd2ErTl2
_chemical_formula_sum 'Sm1 Gd2 Er1 Tl2'
_symmetry_space_group_name_H-M 'P 1'
_symmetry_Int_Tables_number 1
_cell_length_a 5.430
_cell_length_b 5.430
_cell_length_c 6.778
_cell_angle_alpha 90.00
_cell_angle_beta 90.00
_cell_angle_gamma 120.00
loop_
_symmetry_equiv_pos_as_xyz
'x,y,z'
loop_
_atom_site_label
_atom_site_fract_x
_atom_site_fract_y
_atom_site_fract_z
Sm1 0.000 0.000 0.000
Gd1 0.667 0.333 0.257
Gd2 0.667 0.333 0.743
Er1 0.333 0.667 0.500
Tl1 0.000 0.000 0.500
Tl2 0.333 0.667 0.000

=====

# UGeMo PBE optimized geometry
# Size of the total moment = 2.01 μB per formula unit
# Total DFT energy (no corrections) = -8.558 eV per atom
data_UGeMo
_chemical_formula_sum 'U1 Ge1 Mo1'
_symmetry_space_group_name_H-M 'P 1'
_symmetry_Int_Tables_number 1
_cell_length_a 4.473
_cell_length_b 4.473
_cell_length_c 4.473
_cell_angle_alpha 60.00
_cell_angle_beta 60.00
_cell_angle_gamma 60.00
loop_
_symmetry_equiv_pos_as_xyz
'x,y,z'
loop_
_atom_site_label
_atom_site_fract_x
_atom_site_fract_y
_atom_site_fract_z
U1 0.000 0.000 0.000
Ge1 0.500 0.500 0.500
Mo1 0.750 0.750 0.750

=====

# Pr3Mg2CdPt2Au PBE optimized geometry
# Size of the total moment = 0.01 μB per formula unit
# Total DFT energy (no corrections) = -4.556 eV per atom
data_Pr3Mg2CdPt2Au
_chemical_formula_sum 'Pr3 Mg2 Cd1 Pt2 Au1'
_symmetry_space_group_name_H-M 'P 1'
_symmetry_Int_Tables_number 1
_cell_length_a 4.122
_cell_length_b 7.701
_cell_length_c 7.701
_cell_angle_alpha 119.43
_cell_angle_beta 90.00
_cell_angle_gamma 90.00
loop_
_symmetry_equiv_pos_as_xyz
'x,y,z'
loop_
_atom_site_label
_atom_site_fract_x
_atom_site_fract_y
_atom_site_fract_z
Pr1 0.000 0.000 0.000
Pr2 0.000 0.426 0.835
Pr3 0.000 0.835 0.426
Mg1 0.500 0.173 0.421
Mg2 0.500 0.421 0.173
Cd1 0.500 0.671 0.671
Pt1 0.500 0.099 0.758
Pt2 0.500 0.758 0.099
Au1 0.000 0.405 0.405

=====

# NaLiZn PBE optimized geometry
# Energy above the lowest structure with this stoichiometry = 264.4 meV/atom
data_NaLiZn
_chemical_formula_sum 'Na1 Li1 Zn1'
_symmetry_space_group_name_H-M 'P 1'
_symmetry_Int_Tables_number 1
_cell_length_a 4.693
_cell_length_b 4.693
_cell_length_c 4.693
_cell_angle_alpha 60.00
_cell_angle_beta 60.00
_cell_angle_gamma 60.00
loop_
_symmetry_equiv_pos_as_xyz
'x,y,z'
loop_
_atom_site_label
_atom_site_fract_x
_atom_site_fract_y
_atom_site_fract_z
Na1 0.000 0.000 0.000
Li1 0.750 0.750 0.750
Zn1 0.250 0.250 0.250

=====

# NaHg3PbSe4 PBE optimized geometry
# Total DFT energy (no corrections) = -2.441 eV per atom
data_NaHg3PbSe4
_chemical_formula_sum 'Na1 Hg3 Pb1 Se4'
_symmetry_space_group_name_H-M 'P 1'
_symmetry_Int_Tables_number 1
_cell_length_a 6.707
_cell_length_b 6.707
_cell_length_c 6.707
_cell_angle_alpha 90.00
_cell_angle_beta 90.00
_cell_angle_gamma 90.00
loop_
_symmetry_equiv_pos_as_xyz
'x,y,z'
loop_
_atom_site_label
_atom_site_fract_x
_atom_site_fract_y
_atom_site_fract_z
Na1 0.000 0.000 0.000
Hg1 0.000 0.500 0.500
Hg2 0.500 0.000 0.500
Hg3 0.500 0.500 0.000
Pb1 0.500 0.500 0.500
Se1 0.250 0.250 0.250
Se2 0.250 0.750 0.750
Se3 0.750 0.250 0.750
Se4 0.750 0.750 0.250